Material: FeNiO3
Method: DFT, PBE+U
State: optimized geometry

## Properties
Size of the total moment   0.00 μB per formula unit
Total energy   -4.03 eV/atom

The structure in CIF format:
```
data_FeNiO3
_cell_length_a 3.611
_cell_length_b 3.611
_cell_length_c 3.611
_cell_angle_alpha 90.00
_cell_angle_beta 90.00
_cell_angle_gamma 90.00
_space_group_name_H-M_alt 'P m -3 m'
_space_group_IT_number 221
_space_group_name_Hall '-P 4 2 3'
loop_
_atom_site_label
_atom_site_type_symbol
_atom_site_fract_x
_atom_site_fract_y
_atom_site_fract_z
Fe1 Fe 0.000 0.000 0.000
Ni1 Ni 0.500 0.500 0.500
O1 O 0.000 0.000 0.500
```